Record 1
# UAsIr2 (PBE, relaxed)
data_UAsIr2
_chemical_formula_sum 'U3 As3 Ir6'
_symmetry_space_group_name_H-M 'R -3 m'
_symmetry_Int_Tables_number 166
_symmetry_space_group_name_Hall '-R 3 2"'
_cell_length_a 4.7878
_cell_length_b 4.7878
_cell_length_c 11.0077
_cell_angle_alpha 90.00
_cell_angle_beta 90.00
_cell_angle_gamma 120.00
loop_
_atom_site_label
_atom_site_type_symbol
_atom_site_fract_x
_atom_site_fract_y
_atom_site_fract_z
U1 U 0.0000 0.0000 0.0000
As1 As 0.0000 0.0000 0.5000
Ir1 Ir 0.0000 0.0000 0.2748
# DFT formation energy: -165 meV per atom

=====

Record 2
# La3OsI3 (PBE, relaxed)
data_La3OsI3
_chemical_formula_sum 'La24 Os8 I24'
_symmetry_space_group_name_H-M 'I 41 3 2'
_symmetry_Int_Tables_number 214
_symmetry_space_group_name_Hall 'I 4bd 2c 3'
_cell_length_a 12.6560
_cell_length_b 12.6560
_cell_length_c 12.6560
_cell_angle_alpha 90.00
_cell_angle_beta 90.00
_cell_angle_gamma 90.00
loop_
_atom_site_label
_atom_site_type_symbol
_atom_site_fract_x
_atom_site_fract_y
_atom_site_fract_z
La1 La 0.1031 0.3531 0.1250
Os1 Os 0.1250 0.1250 0.1250
I1 I 0.1157 0.1343 0.6250
# energy above the most stable polymorph in this dataset: 0.0279 eV/atom

=====

Record 3
Computed, not measured: a geometry-optimized Li4CeEr3Te8 structure at the PBE level of DFT.

The structure in CIF format:
```
data_Li4CeEr3Te8
_chemical_formula_sum 'Li12 Ce3 Er9 Te24'
_symmetry_space_group_name_H-M 'R -3 m'
_symmetry_Int_Tables_number 166
_symmetry_space_group_name_Hall '-R 3 2"'
_cell_length_a 8.7094
_cell_length_b 8.7094
_cell_length_c 21.1778
_cell_angle_alpha 90.00
_cell_angle_beta 90.00
_cell_angle_gamma 120.00
loop_
_atom_site_label
_atom_site_type_symbol
_atom_site_fract_x
_atom_site_fract_y
_atom_site_fract_z
Li1 Li 0.0000 0.0000 0.0000
Li2 Li 0.0000 0.5000 0.0000
Ce1 Ce 0.0000 0.0000 0.5000
Er1 Er 0.0000 0.5000 0.5000
Te1 Te 0.0000 0.0000 0.2507
Te2 Te 0.0087 0.5044 0.7477
```

=====

Record 4
Computed, not measured: a geometry-optimized Tl2H2I structure at the PBE level of DFT.

The structure in CIF format:
```
data_Tl2H2I
_chemical_formula_sum 'Tl4 H4 I2'
_symmetry_space_group_name_H-M 'C 1 2/m 1'
_symmetry_Int_Tables_number 12
_symmetry_space_group_name_Hall '-C 2y'
_cell_length_a 11.9209
_cell_length_b 5.1817
_cell_length_c 4.4091
_cell_angle_alpha 90.00
_cell_angle_beta 111.63
_cell_angle_gamma 90.00
loop_
_atom_site_label
_atom_site_type_symbol
_atom_site_fract_x
_atom_site_fract_y
_atom_site_fract_z
Tl1 Tl 0.2415 0.0000 0.2412
H1 H 0.0024 0.5000 0.0877
I1 I 0.0000 0.0000 0.5000
```

=====

Record 5
# Pm2ScCd8 (PBE, relaxed)
data_Pm2ScCd8
_chemical_formula_sum 'Pm4 Sc2 Cd16'
_symmetry_space_group_name_H-M 'C 1 2/m 1'
_symmetry_Int_Tables_number 12
_symmetry_space_group_name_Hall '-C 2y'
_cell_length_a 15.7495
_cell_length_b 4.9851
_cell_length_c 7.0321
_cell_angle_alpha 90.00
_cell_angle_beta 107.43
_cell_angle_gamma 90.00
loop_
_atom_site_label
_atom_site_type_symbol
_atom_site_fract_x
_atom_site_fract_y
_atom_site_fract_z
Pm1 Pm 0.2163 0.0000 0.1542
Sc1 Sc 0.0000 0.5000 0.5000
Cd1 Cd 0.0139 0.0000 0.2214
Cd2 Cd 0.0885 0.5000 0.9444
Cd3 Cd 0.1444 0.0000 0.6288
Cd4 Cd 0.1640 0.5000 0.3844
# DFT formation energy: -229 meV per atom

=====

Record 6
Computed, not measured: a geometry-optimized MgGaS2 structure at the PBE level of DFT.

The structure in CIF format:
```
data_MgGaS2
_chemical_formula_sum 'Mg1 Ga1 S2'
_symmetry_space_group_name_H-M 'P 3 m 1'
_symmetry_Int_Tables_number 156
_symmetry_space_group_name_Hall 'P 3 -2"'
_cell_length_a 4.2350
_cell_length_b 4.2350
_cell_length_c 5.9840
_cell_angle_alpha 90.00
_cell_angle_beta 90.00
_cell_angle_gamma 120.00
loop_
_atom_site_label
_atom_site_type_symbol
_atom_site_fract_x
_atom_site_fract_y
_atom_site_fract_z
Mg1 Mg 0.0000 0.0000 0.0000
Ga1 Ga 0.3333 0.6667 0.4924
S1 S 0.0000 0.0000 0.4201
S2 S 0.3333 0.6667 0.9049
```

=====

Record 7
# LiMg2Cd (PBE, relaxed)
data_LiMg2Cd
_chemical_formula_sum 'Li1 Mg2 Cd1'
_symmetry_space_group_name_H-M 'P 4 m m'
_symmetry_Int_Tables_number 99
_symmetry_space_group_name_Hall 'P 4 -2'
_cell_length_a 3.3923
_cell_length_b 3.3923
_cell_length_c 7.0765
_cell_angle_alpha 90.00
_cell_angle_beta 90.00
_cell_angle_gamma 90.00
loop_
_atom_site_label
_atom_site_type_symbol
_atom_site_fract_x
_atom_site_fract_y
_atom_site_fract_z
Li1 Li 0.0000 0.0000 0.0000
Mg1 Mg 0.0000 0.0000 0.5246
Mg2 Mg 0.5000 0.5000 0.2406
Cd1 Cd 0.5000 0.5000 0.7889
# DFT formation energy: -130 meV per atom

=====

Record 8
Computed, not measured: a geometry-optimized LiRe2Se structure at the PBE level of DFT.

The structure in CIF format:
```
data_LiRe2Se
_chemical_formula_sum 'Li2 Re4 Se2'
_symmetry_space_group_name_H-M 'I m m m'
_symmetry_Int_Tables_number 71
_symmetry_space_group_name_Hall '-I 2 2'
_cell_length_a 3.0945
_cell_length_b 3.3948
_cell_length_c 11.7118
_cell_angle_alpha 90.00
_cell_angle_beta 90.00
_cell_angle_gamma 90.00
loop_
_atom_site_label
_atom_site_type_symbol
_atom_site_fract_x
_atom_site_fract_y
_atom_site_fract_z
Li1 Li 0.0000 0.0000 0.0000
Re1 Re 0.0000 0.5000 0.1967
Se1 Se 0.0000 0.0000 0.5000
```

=====

Record 9
# TbSm3Mg (PBE, relaxed)
data_TbSm3Mg
_chemical_formula_sum 'Tb2 Sm6 Mg2'
_symmetry_space_group_name_H-M 'P m m n'
_symmetry_Int_Tables_number 59
_cell_length_a 3.8145
_cell_length_b 10.5798
_cell_length_c 8.1596
_cell_angle_alpha 90.00
_cell_angle_beta 90.00
_cell_angle_gamma 90.00
loop_
_symmetry_equiv_pos_as_xyz
'x,y,z'
'-x,-y,-z'
'-x+1/2,-y+1/2,z'
'x+1/2,y+1/2,-z'
'x+1/2,-y,-z'
'-x+1/2,y,z'
'-x,y+1/2,-z'
'x,-y+1/2,z'
loop_
_atom_site_label
_atom_site_type_symbol
_atom_site_fract_x
_atom_site_fract_y
_atom_site_fract_z
Tb1 Tb 0.2500 0.2500 0.0570
Sm1 Sm 0.2500 0.2500 0.4432
Sm2 Sm 0.2500 0.5021 0.7613
Mg1 Mg 0.2500 0.7500 0.2466
# energy above the most stable polymorph in this dataset: 0.1386 eV/atom
# DFT formation energy: 122 meV per atom

=====

Record 10
# Tl2Pd2Pt (PBE, relaxed)
data_Tl2Pd2Pt
_chemical_formula_sum 'Tl4 Pd4 Pt2'
_symmetry_space_group_name_H-M 'P 4/m b m'
_symmetry_Int_Tables_number 127
_symmetry_space_group_name_Hall '-P 4 2ab'
_cell_length_a 7.1580
_cell_length_b 7.1580
_cell_length_c 3.8310
_cell_angle_alpha 90.00
_cell_angle_beta 90.00
_cell_angle_gamma 90.00
loop_
_atom_site_label
_atom_site_type_symbol
_atom_site_fract_x
_atom_site_fract_y
_atom_site_fract_z
Tl1 Tl 0.1701 0.3299 0.0000
Pd1 Pd 0.1361 0.6361 0.5000
Pt1 Pt 0.0000 0.0000 0.5000
# energy above the most stable polymorph in this dataset: 0.1259 eV/atom
# DFT formation energy: 9 meV per atom

=====

Record 11
Computed, not measured: a geometry-optimized Ho6Ga2N structure at the PBE level of DFT.

The structure in CIF format:
```
data_Ho6Ga2N
_chemical_formula_sum 'Ho12 Ga4 N2'
_symmetry_space_group_name_H-M 'I m m m'
_symmetry_Int_Tables_number 71
_symmetry_space_group_name_Hall '-I 2 2'
_cell_length_a 4.9507
_cell_length_b 6.6155
_cell_length_c 13.4834
_cell_angle_alpha 90.00
_cell_angle_beta 90.00
_cell_angle_gamma 90.00
loop_
_atom_site_label
_atom_site_type_symbol
_atom_site_fract_x
_atom_site_fract_y
_atom_site_fract_z
Ho1 Ho 0.0000 0.2364 0.0000
Ho2 Ho 0.0000 0.2554 0.3486
Ga1 Ga 0.0000 0.5000 0.1691
N1 N 0.0000 0.5000 0.5000
```

=====

Record 12
Computed, not measured: a geometry-optimized TiCd2SbO6 structure at the PBE level of DFT.

The structure in CIF format:
```
data_TiCd2SbO6
_chemical_formula_sum 'Ti1 Cd2 Sb1 O6'
_symmetry_space_group_name_H-M 'P 4 m m'
_symmetry_Int_Tables_number 99
_symmetry_space_group_name_Hall 'P 4 -2'
_cell_length_a 5.3214
_cell_length_b 5.3214
_cell_length_c 4.9893
_cell_angle_alpha 90.00
_cell_angle_beta 90.00
_cell_angle_gamma 90.00
loop_
_atom_site_label
_atom_site_type_symbol
_atom_site_fract_x
_atom_site_fract_y
_atom_site_fract_z
Ti1 Ti 0.0000 0.0000 0.0000
Cd1 Cd 0.0000 0.5000 0.4337
Sb1 Sb 0.5000 0.5000 0.9937
O1 O 0.0000 0.0000 0.6499
O2 O 0.2484 0.2484 0.1304
O3 O 0.5000 0.5000 0.6035
```

=====

Number 1: uncorrected energy -8.58 eV per atom. Number 2: uncorrected energy -5.44 eV per atom. Number 3: uncorrected energy -4.54 eV per atom. Number 4: uncorrected energy -2.74 eV per atom. Number 5: uncorrected energy -2.33 eV per atom. Number 6: uncorrected energy -4.04 eV per atom. Number 7: uncorrected energy -1.63 eV per atom. Number 8: uncorrected energy -7.33 eV per atom. Number 9: uncorrected energy -3.95 eV per atom. Number 10: uncorrected energy -4.22 eV per atom. Number 11: uncorrected energy -4.84 eV per atom. Number 12: uncorrected energy -5.92 eV per atom.